Below is ReTeMoPd2 after structural relaxation, with properties calculated at the PBEsol level.

## Properties
Mass density ... 9.66 Mg/m³
Space group ... P4/mmm, No. 123
Formation energy (no corrections) ... 1301 meV per atom

a = 4.811 Å, b = 4.811 Å, c = 4.624 Å
α = 90.00°, β = 90.00°, γ = 90.00°
Fractional coordinates of all 5 atoms:
Re1 0.000 0.000 0.000
Te1 0.500 0.500 0.500
Mo1 0.000 0.000 0.500
Pd1 0.000 0.500 0.000
Pd2 0.500 0.000 0.000

Below is Mo2PdRh after structural relaxation, with properties calculated at the PBEsol level.

## Properties
Mass density ... 11.20 Mg/m³
Space group ... Fm-3m, No. 225
E_form ... 390 meV per atom

a = 4.382 Å, b = 4.382 Å, c = 4.382 Å
α = 60.00°, β = 60.00°, γ = 60.00°
Fractional coordinates of all 4 atoms:
Mo1 0.250 0.250 0.250
Mo2 0.750 0.750 0.750
Pd1 0.000 0.000 0.000
Rh1 0.500 0.500 0.500

Below is MoPd2Rh after structural relaxation, with properties calculated at the PBEsol level.

## Properties
Mass density ... 11.86 Mg/m³
Space group ... R3m, No. 160
E_form ... -87 meV per atom

a = 9.080 Å, b = 9.080 Å, c = 9.080 Å
α = 17.28°, β = 17.28°, γ = 17.28°
Fractional coordinates of all 4 atoms:
Mo1 0.000 0.000 0.000
Pd1 0.502 0.502 0.502
Pd2 0.750 0.750 0.750
Rh1 0.255 0.255 0.255

Below is Mo2PdRuW after structural relaxation, with properties calculated at the PBEsol level.

## Properties
Mass density ... 9.75 Mg/m³
Space group ... P4/mmm, No. 123
E_form ... 2095 meV per atom

a = 4.605 Å, b = 4.605 Å, c = 4.682 Å
α = 90.00°, β = 90.00°, γ = 90.00°
Fractional coordinates of all 5 atoms:
Mo1 0.000 0.500 0.000
Mo2 0.500 0.000 0.000
Pd1 0.000 0.000 0.500
Ru1 0.500 0.500 0.500
W1 0.000 0.000 0.000

Energy? In order: -6.808 -9.018 -8.043 -8.600 eV per atom.